1.
First-principles (PBE) data for crystalline Hg2SbRu at its relaxed geometry, as listed in Alexandria.

Calculated values
The calculation puts the energy relative to the elements, uncorrected at 0.2241 eV/atom. The space group is Imm2, No. 44. The magnetization comes out at 0.00 μB/f.u.

abc: 7.078 7.078 7.078
angles: 154.66 141.17 46.94
Atoms (fractional coordinates):
Hg1 0.000 0.000 0.000
Hg2 0.671 0.171 0.500
Sb1 0.350 0.350 0.000
Ru1 0.188 0.688 0.500

---

2.
First-principles (PBE) data for crystalline BaSiSe2N at its relaxed geometry, as listed in Alexandria.

Calculated values
The calculation puts the energy relative to the elements, uncorrected at 1.2277 eV/atom. The space group is P4/mmm, No. 123. The magnetization comes out at 2.80 μB/f.u. The energy relative to the lowest polymorph listed for this composition comes out at 1746 meV per atom.

abc: 6.076 6.076 5.068
angles: 90.00 90.00 90.00
Atoms (fractional coordinates):
Ba1 0.000 0.000 0.000
Si1 0.500 0.500 0.500
Se1 0.000 0.500 0.000
Se2 0.500 0.000 0.000
N1 0.000 0.000 0.500

---

3.
First-principles (PBE) data for crystalline KSb2 at its relaxed geometry, as listed in Alexandria.

Calculated values
The calculation puts the energy relative to the elements, uncorrected at -0.2043 eV/atom. The space group is P4/mmm, No. 123. The magnetization comes out at 0.00 μB/f.u.

abc: 4.360 4.360 6.011
angles: 90.00 90.00 90.00
Atoms (fractional coordinates):
K1 0.000 0.000 0.000
Sb1 0.000 0.500 0.500
Sb2 0.500 0.000 0.500

---

4.
First-principles (PBE) data for crystalline DyErCuTc at its relaxed geometry, as listed in Alexandria.

Calculated values
The space group is F-43m, No. 216. The magnetization comes out at 0.00 μB/f.u. The value obtained for the total energy is -6.025 eV/atom.

abc: 4.845 4.845 4.845
angles: 60.00 60.00 60.00
Atoms (fractional coordinates):
Dy1 0.000 0.000 0.000
Er1 0.500 0.500 0.500
Cu1 0.750 0.750 0.750
Tc1 0.250 0.250 0.250

---

5.
First-principles (PBE) data for crystalline SrAlCdHg at its relaxed geometry, as listed in Alexandria.

Calculated values
The space group is F-43m, No. 216. The magnetization comes out at 0.00 μB/f.u. The value obtained for the total energy is -1.859 eV/atom.

abc: 5.233 5.233 5.233
angles: 60.00 60.00 60.00
Atoms (fractional coordinates):
Sr1 0.000 0.000 0.000
Al1 0.500 0.500 0.500
Cd1 0.750 0.750 0.750
Hg1 0.250 0.250 0.250

---

6.
First-principles (PBE) data for crystalline SrNi2PPd at its relaxed geometry, as listed in Alexandria.

Calculated values
The space group is P4/mmm, No. 123. The magnetization comes out at 0.00 μB/f.u. The value obtained for the total energy is -5.189 eV/atom.

abc: 4.352 4.352 4.727
angles: 90.00 90.00 90.00
Atoms (fractional coordinates):
Sr1 0.000 0.000 0.000
Ni1 0.000 0.500 0.500
Ni2 0.500 0.000 0.500
P1 0.500 0.500 0.500
Pd1 0.500 0.500 0.000

---

7.
First-principles (PBE) data for crystalline YHg2Cl at its relaxed geometry, as listed in Alexandria.

Calculated values
The calculation puts the energy relative to the elements, uncorrected at -0.7078 eV/atom. The space group is Imm2, No. 44. The magnetization comes out at 0.00 μB/f.u. The energy relative to the lowest polymorph listed for this composition comes out at 2 meV per atom.

abc: 6.264 6.264 6.264
angles: 146.24 128.24 63.24
Atoms (fractional coordinates):
Y1 0.000 0.000 0.000
Hg1 0.253 0.753 0.500
Hg2 0.527 0.527 0.000
Cl1 0.814 0.314 0.500

---

8.
First-principles (PBE) data for crystalline TcW3Au at its relaxed geometry, as listed in Alexandria.

Calculated values
The space group is Pm-3m, No. 221. The magnetization comes out at 0.00 μB/f.u. The energy relative to the lowest polymorph listed for this composition comes out at 0 meV per atom.

abc: 4.685 4.685 4.685
angles: 90.00 90.00 90.00
Atoms (fractional coordinates):
Tc1 0.000 0.000 0.000
W1 0.000 0.000 0.500
W2 0.000 0.500 0.000
W3 0.500 0.000 0.000
Au1 0.500 0.500 0.500

---

9.
First-principles (PBE) data for crystalline TaCd at its relaxed geometry, as listed in Alexandria.

Calculated values
The space group is F-43m, No. 216. The magnetization comes out at 0.00 μB/f.u. The value obtained for the total energy is -4.018 eV/atom.

abc: 4.369 4.369 4.369
angles: 60.00 60.00 60.00
Atoms (fractional coordinates):
Ta1 0.000 0.000 0.000
Cd1 0.250 0.250 0.250

---

10.
First-principles (PBE) data for crystalline VSiP at its relaxed geometry, as listed in Alexandria.

Calculated values
The calculation puts the energy relative to the elements, uncorrected at -0.3223 eV/atom. The space group is P1, No. 1. The magnetization comes out at 0.00 μB/f.u.

abc: 3.238 4.351 6.193
angles: 87.49 78.39 76.46
Atoms (fractional coordinates):
V1 0.000 0.000 0.000
V2 0.301 0.479 0.649
Si1 0.461 0.746 0.285
Si2 0.930 0.228 0.388
P1 0.325 0.422 0.025
P2 0.632 0.904 0.704

---

11.
First-principles (PBE) data for crystalline LiGa2WAu at its relaxed geometry, as listed in Alexandria.

Calculated values
The space group is P4/mmm, No. 123. The magnetization comes out at 3.31 μB/f.u. The value obtained for the total energy is -3.850 eV/atom.

abc: 4.815 4.815 4.490
angles: 90.00 90.00 90.00
Atoms (fractional coordinates):
Li1 0.000 0.000 0.000
Ga1 0.000 0.500 0.500
Ga2 0.500 0.000 0.500
W1 0.500 0.500 0.000
Au1 0.000 0.000 0.500

---

12.
First-principles (PBE) data for crystalline UFeGe at its relaxed geometry, as listed in Alexandria.

Calculated values
The space group is Pmma, No. 51. The magnetization comes out at 0.97 μB/f.u. The value obtained for the total energy is -8.263 eV/atom.

abc: 5.339 3.133 6.244
angles: 90.00 90.00 90.00
Atoms (fractional coordinates):
U1 0.250 0.000 0.242
U2 0.750 0.000 0.758
Fe1 0.000 0.500 0.500
Fe2 0.500 0.500 0.500
Ge1 0.250 0.500 0.823
Ge2 0.750 0.500 0.177

---

Question: What is the formula in the second record?
Answer: BaSiSe2N